(1)
This record from Alexandria via LeMat-Bulk describes Li4V2P3O12 after structural relaxation. The functional is GGA-PBEsol.

For the mass density, the calculation gives 3.0 g/cm³. Its density of states at the Fermi level is 46.021 states/eV/cell. For the volume, the calculation gives 10.91 Å³/atom. The polymorph energy (0 for the lowest one) comes out at 0 meV per atom.

It has space group C2/c (No. 15), with a = 14.172 Å, b = 9.018 Å, c = 8.437 Å, α = 90.00°, β = 121.77° and γ = 90.00°. The inequivalent atoms are Li at (0.135, 0.187, 0.325), Li at (0.192, 0.476, 0.117), V at (0.111, 0.248, 0.644), P at (0.000, 0.459, 0.250), P at (0.151, 0.092, 0.033), O at (0.040, 0.155, 0.991), O at (0.067, 0.448, 0.692), O at (0.087, 0.357, 0.410), O at (0.160, 0.080, 0.545), O at (0.181, 0.133, 0.888) and O at (0.234, 0.153, 0.234).

(2)
This record from Alexandria via LeMat-Bulk describes YMg3Cu3 after structural relaxation. The functional is GGA-PBEsol.

For the mass density, the calculation gives 4.7 g/cm³. Its density of states at the Fermi level is 6.043 states/eV/cell. The calculation puts the formation energy from the elements at -108.6 meV/atom. For the volume, the calculation gives 17.95 Å³/atom.

It has space group P6_3/m (No. 176), with a = 8.1314 Å, b = 8.1314 Å, c = 4.3891 Å, α = 90.00°, β = 90.00° and γ = 120.00°. The inequivalent atoms are Y at (0.3333, 0.6667, 0.2500), Mg at (0.0302, 0.7698, 0.7500) and Cu at (0.0590, 0.4634, 0.7500).

(3)
This record from Alexandria via LeMat-Bulk describes MnZnCo2 after structural relaxation. The functional is GGA-PBEsol.

For the mass density, the calculation gives 8.5 g/cm³. Its density of states at the Fermi level is 3.225 states/eV/cell. The calculation puts the formation energy from the elements at 88.0 meV/atom. For the volume, the calculation gives 11.59 Å³/atom.

It has space group P4mm (No. 99), with a = 2.632 Å, b = 2.632 Å, c = 6.692 Å, α = 90.00°, β = 90.00° and γ = 90.00°. The inequivalent atoms are Mn at (0.000, 0.000, 0.000), Zn at (0.500, 0.500, 0.722), Co at (0.000, 0.000, 0.467) and Co at (0.500, 0.500, 0.248).

(4)
This record from Alexandria via LeMat-Bulk describes Si2AgRh after structural relaxation. The functional is GGA-PBEsol.

For the mass density, the calculation gives 7.8 g/cm³. Its density of states at the Fermi level is 0.952 states/eV/cell. As for the total energy: -5.939 eV per atom. For the volume, the calculation gives 14.29 Å³/atom.

It has space group Pm (No. 6), with a = 2.946 Å, b = 4.484 Å, c = 4.328 Å, α = 90.00°, β = 90.09° and γ = 90.00°. The inequivalent atoms are Si at (0.000, 0.000, 0.000), Si at (0.499, 0.500, 0.790), Ag at (0.999, 0.500, 0.291) and Rh at (0.499, 0.000, 0.556).

(5)
This record from Alexandria via LeMat-Bulk describes Sc2TcP after structural relaxation. The functional is GGA-PBEsol.

For the mass density, the calculation gives 5.6 g/cm³. Its density of states at the Fermi level is 8.658 states/eV/cell. The calculation puts the formation energy from the elements at -453.6 meV/atom. For the volume, the calculation gives 16.10 Å³/atom.

It has space group I-4m2 (No. 119), with a = 3.795 Å, b = 3.795 Å, c = 8.945 Å, α = 90.00°, β = 90.00° and γ = 90.00°. The inequivalent atoms are Sc at (0.000, 0.000, 0.000), Sc at (0.000, 0.500, 0.250), Tc at (0.000, 0.000, 0.500) and P at (0.000, 0.500, 0.750).

(6)
This record from Alexandria via LeMat-Bulk describes Te3PW after structural relaxation. The functional is GGA-PBEsol.

For the mass density, the calculation gives 7.8 g/cm³. Its density of states at the Fermi level is 3.198 states/eV/cell. As for the total energy: -4.655 eV per atom. For the volume, the calculation gives 25.59 Å³/atom.

It has space group Pm-3m (No. 221), with a = 5.039 Å, b = 5.039 Å, c = 5.039 Å, α = 90.00°, β = 90.00° and γ = 90.00°. The inequivalent atoms are Te at (0.000, 0.000, 0.500), P at (0.000, 0.000, 0.000) and W at (0.500, 0.500, 0.500).

(7)
This record from Alexandria via LeMat-Bulk describes LaTa2FeS after structural relaxation. The functional is GGA-PBEsol.

For the mass density, the calculation gives 9.4 g/cm³. Its density of states at the Fermi level is 5.914 states/eV/cell. As for the total energy: -6.484 eV per atom. For the volume, the calculation gives 20.75 Å³/atom.

It has space group P4/mmm (No. 123), with a = 5.001 Å, b = 5.001 Å, c = 4.149 Å, α = 90.00°, β = 90.00° and γ = 90.00°. The inequivalent atoms are La at (0.000, 0.000, 0.000), Ta at (0.000, 0.500, 0.000), Fe at (0.000, 0.000, 0.500) and S at (0.500, 0.500, 0.500).

(8)
This record from Alexandria via LeMat-Bulk describes SrSN2 after structural relaxation. The functional is GGA-PBEsol.

For the mass density, the calculation gives 3.9 g/cm³. Its density of states at the Fermi level is 0.989 states/eV/cell. As for the total energy: -5.470 eV per atom. For the volume, the calculation gives 15.54 Å³/atom.

It has space group I-42d (No. 122), with a = 5.142 Å, b = 5.142 Å, c = 9.406 Å, α = 90.00°, β = 90.00° and γ = 90.00°. The inequivalent atoms are Sr at (0.000, 0.000, 0.000), S at (0.000, 0.000, 0.500) and N at (0.137, 0.250, 0.625).